[1]
Below is a geometry-optimized AlSiH2 structure, with properties calculated at the PBE level.

Calculated values
Density of states at the Fermi level, states/eV/cell: 1.98
Symmetry: I-42d
VASP energy, eV/atom: -3.410

Geometry as extended XYZ:
```
8
Lattice="4.8957 0.0000 0.0000 0.0000 4.8957 0.0000 2.4478 2.4478 3.4720" Properties=species:S:1:pos:R:3 pbc="T T T"
H 3.3332 1.2239 0.8680
H 1.5625 3.6718 0.8680
H 3.6718 4.0104 2.6040
H 6.1196 5.7810 2.6040
Si 0.0000 0.0000 0.0000
Si 4.8957 2.4478 1.7360
Al 2.4478 2.4478 0.0000
Al 2.4478 4.8957 1.7360
```



[2]
Below is a geometry-optimized Al2SiH6 structure, with properties calculated at the PBE level.

Calculated values
Density of states at the Fermi level, states/eV/cell: 0.70
Symmetry: Fm-3m
VASP energy, eV/atom: -3.261

Geometry as extended XYZ:
```
9
Lattice="4.1871 0.0000 2.4174 1.3957 3.9476 2.4174 0.0000 0.0000 4.8348" Properties=species:S:1:pos:R:3 pbc="T T T"
Al 4.1871 2.9607 7.2522
Al 1.3957 0.9869 2.4174
Si 0.0000 0.0000 0.0000
H 2.0627 3.0043 6.0969
H 4.2487 3.0043 4.8348
H 3.5201 0.9433 6.0969
H 3.5201 0.9433 3.5727
H 1.3340 0.9433 4.8348
H 2.0627 3.0043 3.5727
```



[3]
Below is a geometry-optimized AlSiH structure, with properties calculated at the PBE level.

Calculated values
Density of states at the Fermi level, states/eV/cell: 1.38
Symmetry: P1
VASP energy, eV/atom: -3.978

Geometry as extended XYZ:
```
6
Lattice="3.9849 0.0122 0.0017 -0.4867 3.9535 -0.0224 -1.6888 -2.0469 5.1669" Properties=species:S:1:pos:R:3 pbc="T T T"
Al 2.9728 1.3585 0.1319
Al 1.0869 2.6615 2.2716
Si 0.4055 3.6523 0.1004
Si 0.1315 0.7185 3.5658
H 2.5036 1.8358 1.7280
H -1.0381 -0.1497 2.8559
```



[4]
Below is a geometry-optimized Al3SiH structure, with properties calculated at the PBE level.

Calculated values
Density of states at the Fermi level, states/eV/cell: 2.34
Symmetry: Pm-3m
VASP energy, eV/atom: -3.741

Geometry as extended XYZ:
```
5
Lattice="4.0534 0.0000 0.0000 0.0000 4.0534 0.0000 0.0000 0.0000 4.0534" Properties=species:S:1:pos:R:3 pbc="T T T"
H 0.0000 0.0000 0.0000
Si 2.0267 2.0267 2.0267
Al 0.0000 2.0267 0.0000
Al 0.0000 0.0000 2.0267
Al 2.0267 0.0000 0.0000
```



Which formula does entry 3 have? AlSiH